! Ho3Ga12Ag | Alexandria via LeMat-Bulk | PBE | relaxed; values from VASP
&SYSTEM
  ibrav = 0, nat = 16, ntyp = 3
/
ATOMIC_SPECIES
Ho 164.93 Ho.upf
Ga 69.72 Ga.upf
Ag 107.87 Ag.upf
CELL_PARAMETERS angstrom
4.2613 0.0000 0.0000
0.0000 4.2613 0.0000
0.0000 0.0000 16.8137
ATOMIC_POSITIONS crystal
Ho 0.0000 0.0000 0.0000
Ho 0.0000 0.0000 0.2552
Ho 0.0000 0.0000 0.7448
Ga 0.0000 0.5000 0.1275
Ga 0.0000 0.5000 0.3850
Ga 0.0000 0.5000 0.6150
Ga 0.0000 0.5000 0.8725
Ga 0.5000 0.0000 0.1275
Ga 0.5000 0.0000 0.3850
Ga 0.5000 0.0000 0.6150
Ga 0.5000 0.0000 0.8725
Ga 0.5000 0.5000 0.0000
Ga 0.5000 0.5000 0.2463
Ga 0.5000 0.5000 0.5000
Ga 0.5000 0.5000 0.7537
Ag 0.0000 0.0000 0.5000
! Total magnetization: 0.0 μB per cell
! Final energy: -58.89 eV for the cell shown
! Formation energy from the elements: -374 meV per atom
! Space group: P4/mmm



! Pm3Pr6Mg | Alexandria via LeMat-Bulk | PBE | relaxed; values from VASP
&SYSTEM
  ibrav = 0, nat = 20, ntyp = 3
/
ATOMIC_SPECIES
Pm 145.00 Pm.upf
Pr 140.91 Pr.upf
Mg 24.30 Mg.upf
CELL_PARAMETERS angstrom
3.8925 -9.3700 0.0000
3.8925 9.3700 0.0000
0.0000 0.0000 9.5983
ATOMIC_POSITIONS crystal
Pm 0.0391 0.9609 0.5000
Pm 0.1238 0.3693 0.6694
Pm 0.3693 0.1238 0.1694
Pm 0.6307 0.8762 0.6694
Pm 0.8762 0.6307 0.1694
Pm 0.9609 0.0391 0.0000
Pr 0.0413 0.4365 0.0238
Pr 0.1951 0.3300 0.3011
Pr 0.2102 0.7898 0.8300
Pr 0.3300 0.1951 0.8011
Pr 0.4365 0.0413 0.5238
Pr 0.4541 0.5459 0.9947
Pr 0.5459 0.4541 0.4947
Pr 0.5635 0.9587 0.0238
Pr 0.6700 0.8049 0.3011
Pr 0.7898 0.2102 0.3300
Pr 0.8049 0.6700 0.8011
Pr 0.9587 0.5635 0.5238
Mg 0.2782 0.7218 0.2870
Mg 0.7218 0.2782 0.7870
! Relative energy among the computed polymorphs: 0.0 meV/atom
! Total magnetization: 0.0 μB per cell
! Final energy: -86.98 eV for the cell shown
! Formation energy from the elements: 103 meV per atom
! Space group: Cmc2_1



! Y2Be4IrPt3 | Alexandria via LeMat-Bulk | PBE | relaxed; values from VASP
&SYSTEM
  ibrav = 0, nat = 10, ntyp = 4
/
ATOMIC_SPECIES
Y 88.91 Y.upf
Be 9.01 Be.upf
Ir 192.22 Ir.upf
Pt 195.08 Pt.upf
CELL_PARAMETERS angstrom
4.0402 0.0000 0.0000
0.0000 4.0402 0.0000
0.0000 0.0000 9.3475
ATOMIC_POSITIONS crystal
Y 0.0000 0.5000 0.2456
Y 0.5000 0.0000 0.7544
Be 0.0000 0.0000 0.5000
Be 0.0000 0.5000 0.8771
Be 0.5000 0.0000 0.1229
Be 0.5000 0.5000 0.5000
Ir 0.5000 0.5000 0.0000
Pt 0.0000 0.0000 0.0000
Pt 0.0000 0.5000 0.6243
Pt 0.5000 0.0000 0.3757
! Total magnetization: 0.0 μB per cell
! Final energy: -63.57 eV for the cell shown
! Formation energy from the elements: -875 meV per atom
! Space group: P-4m2



! Li3YGa | Alexandria via LeMat-Bulk | PBE | relaxed; values from VASP
&SYSTEM
  ibrav = 0, nat = 5, ntyp = 3
/
ATOMIC_SPECIES
Li 6.94 Li.upf
Y 88.91 Y.upf
Ga 69.72 Ga.upf
CELL_PARAMETERS angstrom
5.6077 0.0000 0.0000
0.0000 5.6077 0.0000
0.0000 0.0000 5.6077
ATOMIC_POSITIONS crystal
Li 0.0000 0.0000 0.5000
Li 0.0000 0.5000 0.0000
Li 0.5000 0.0000 0.0000
Y 0.0000 0.0000 0.0000
Ga 0.5000 0.5000 0.5000
! Relative energy among the computed polymorphs: 1035.7 meV/atom
! Total magnetization: 1.4 μB per cell
! Final energy: -9.73 eV for the cell shown
! Formation energy from the elements: 1101 meV per atom
! Space group: Pm-3m



! RuS | Alexandria via LeMat-Bulk | PBE | relaxed; values from VASP
&SYSTEM
  ibrav = 0, nat = 2, ntyp = 2
/
ATOMIC_SPECIES
Ru 101.07 Ru.upf
S 32.06 S.upf
CELL_PARAMETERS angstrom
0.0000 2.6050 2.6050
2.6050 0.0000 2.6050
2.6050 2.6050 0.0000
ATOMIC_POSITIONS crystal
Ru 0.0000 0.0000 0.0000
S 0.7500 0.7500 0.7500
! ΔE_f (raw): -0.158 eV/atom
! Total magnetization: 0.0 μB per cell
! Final energy: -13.72 eV for the cell shown
! Space group: F-43m



! Li4Tl3Au | Alexandria via LeMat-Bulk | PBE | relaxed; values from VASP
&SYSTEM
  ibrav = 0, nat = 8, ntyp = 3
/
ATOMIC_SPECIES
Li 6.94 Li.upf
Tl 204.38 Tl.upf
Au 196.97 Au.upf
CELL_PARAMETERS angstrom
3.3822 0.0000 0.0000
0.0000 3.3822 0.0000
0.0000 0.0000 13.6494
ATOMIC_POSITIONS crystal
Li 0.0000 0.0000 0.1005
Li 0.0000 0.0000 0.3661
Li 0.0000 0.0000 0.6339
Li 0.0000 0.0000 0.8995
Tl 0.5000 0.5000 0.2314
Tl 0.5000 0.5000 0.5000
Tl 0.5000 0.5000 0.7686
Au 0.5000 0.5000 0.0000
! Total magnetization: 0.0 μB per cell
! Final energy: -20.51 eV for the cell shown
! Formation energy from the elements: -310 meV per atom
! Space group: P4/mmm



! La2ScTa | Alexandria via LeMat-Bulk | PBE | relaxed; values from VASP
&SYSTEM
  ibrav = 0, nat = 4, ntyp = 3
/
ATOMIC_SPECIES
La 138.91 La.upf
Sc 44.96 Sc.upf
Ta 180.95 Ta.upf
CELL_PARAMETERS angstrom
3.3389 0.0000 0.0000
0.0000 5.1338 0.0000
-1.6671 0.0000 6.5256
ATOMIC_POSITIONS crystal
La 0.0000 0.0000 0.0000
La 0.3344 0.5000 0.6708
Sc 0.6161 0.5000 0.2291
Ta 0.7203 0.0000 0.4436
! Relative energy among the computed polymorphs: 62.1 meV/atom
! Total magnetization: 0.0 μB per cell
! Final energy: -26.72 eV for the cell shown
! Formation energy from the elements: 329 meV per atom
! Space group: Pm



! Pr2Ge2Pd3 | Alexandria via LeMat-Bulk | PBE | relaxed; values from VASP
&SYSTEM
  ibrav = 0, nat = 7, ntyp = 3
/
ATOMIC_SPECIES
Pr 140.91 Pr.upf
Ge 72.64 Ge.upf
Pd 106.42 Pd.upf
CELL_PARAMETERS angstrom
5.3340 -2.0525 0.0000
5.3340 2.0525 0.0000
-2.8462 0.0000 6.5329
ATOMIC_POSITIONS crystal
Pr 0.1320 0.1320 0.2671
Pr 0.8680 0.8680 0.7329
Ge 0.1534 0.1534 0.7253
Ge 0.8466 0.8466 0.2747
Pd 0.3745 0.3745 0.0673
Pd 0.5000 0.5000 0.5000
Pd 0.6255 0.6255 0.9327
! Total magnetization: 0.0 μB per cell
! Final energy: -40.18 eV for the cell shown
! Formation energy from the elements: -830 meV per atom
! Space group: C2/m



! MgTa2BeO | Alexandria via LeMat-Bulk | PBE | relaxed; values from VASP
&SYSTEM
  ibrav = 0, nat = 5, ntyp = 4
/
ATOMIC_SPECIES
Mg 24.30 Mg.upf
Ta 180.95 Ta.upf
Be 9.01 Be.upf
O 16.00 O.upf
CELL_PARAMETERS angstrom
4.8117 0.0000 0.0000
0.0000 4.8117 0.0000
0.0000 0.0000 3.8222
ATOMIC_POSITIONS crystal
Mg 0.0000 0.0000 0.0000
Ta 0.0000 0.5000 0.0000
Ta 0.5000 0.0000 0.0000
Be 0.0000 0.0000 0.5000
O 0.5000 0.5000 0.5000
! ΔE_f (raw): 2.134 eV/atom
! Total magnetization: 0.0 μB per cell
! Final energy: -23.31 eV for the cell shown
! Space group: P4/mmm



! Ho2Mg3Ag4 | Alexandria via LeMat-Bulk | PBE | relaxed; values from VASP
&SYSTEM
  ibrav = 0, nat = 9, ntyp = 3
/
ATOMIC_SPECIES
Ho 164.93 Ho.upf
Mg 24.30 Mg.upf
Ag 107.87 Ag.upf
CELL_PARAMETERS angstrom
4.2262 -2.4471 0.0000
4.2262 2.4471 0.0000
-0.0406 0.0000 9.3616
ATOMIC_POSITIONS crystal
Ho 0.1662 0.1662 0.2815
Ho 0.8338 0.8338 0.7185
Mg 0.1674 0.1674 0.9212
Mg 0.5000 0.5000 0.5000
Mg 0.8326 0.8326 0.0788
Ag 0.1669 0.1669 0.6006
Ag 0.4987 0.4987 0.1488
Ag 0.5013 0.5013 0.8512
Ag 0.8331 0.8331 0.3994
! Relative energy among the computed polymorphs: 0.0 meV/atom
! Total magnetization: 0.0 μB per cell
! Final energy: -27.49 eV for the cell shown
! Formation energy from the elements: -238 meV per atom
! Space group: C2/m



! NaSb2TeSe | Alexandria via LeMat-Bulk | PBE | relaxed; values from VASP
&SYSTEM
  ibrav = 0, nat = 5, ntyp = 4
/
ATOMIC_SPECIES
Na 22.99 Na.upf
Sb 121.76 Sb.upf
Te 127.60 Te.upf
Se 78.96 Se.upf
CELL_PARAMETERS angstrom
5.5245 0.0000 0.0000
0.0000 5.5245 0.0000
0.0000 0.0000 5.5984
ATOMIC_POSITIONS crystal
Na 0.0000 0.0000 0.0000
Sb 0.0000 0.5000 0.5000
Sb 0.5000 0.0000 0.5000
Te 0.5000 0.5000 0.0000
Se 0.5000 0.5000 0.5000
! Relative energy among the computed polymorphs: 0.0 meV/atom
! ΔE_f (raw): 0.274 eV/atom
! Total magnetization: 1.0 μB per cell
! Final energy: -14.82 eV for the cell shown
! Space group: P4/mmm



! MgTl4Ni | Alexandria via LeMat-Bulk | PBE | relaxed; values from VASP
&SYSTEM
  ibrav = 0, nat = 6, ntyp = 3
/
ATOMIC_SPECIES
Mg 24.30 Mg.upf
Tl 204.38 Tl.upf
Ni 58.69 Ni.upf
CELL_PARAMETERS angstrom
0.0000 4.4097 4.4097
4.4097 0.0000 4.4097
4.4097 4.4097 0.0000
ATOMIC_POSITIONS crystal
Mg 0.0000 0.0000 0.0000
Tl 0.3755 0.3755 0.3755
Tl 0.3755 0.3755 0.8736
Tl 0.3755 0.8736 0.3755
Tl 0.8736 0.3755 0.3755
Ni 0.7500 0.7500 0.7500
! Total magnetization: 0.1 μB per cell
! Final energy: -13.37 eV for the cell shown
! Formation energy from the elements: 579 meV per atom
! Space group: F-43m



Number 1: Fermi-level density of states 4.64 states/eV/cell. Number 2: Fermi-level density of states 25.65 states/eV/cell. Number 3: Fermi-level density of states 5.88 states/eV/cell. Number 4: Fermi-level density of states 9.37 states/eV/cell. Number 5: Fermi-level density of states 1.64 states/eV/cell. Number 6: Fermi-level density of states 1.86 states/eV/cell. Number 7: Fermi-level density of states 4.88 states/eV/cell. Number 8: Fermi-level density of states 3.17 states/eV/cell. Number 9: Fermi-level density of states 4.32 states/eV/cell. Number 10: Fermi-level density of states 7.47 states/eV/cell. Number 11: Fermi-level density of states 4.77 states/eV/cell. Number 12: Fermi-level density of states 5.43 states/eV/cell.